[1]
TiMn2O6 PBE+U optimized geometry; VASP energy = -0.2812 hartree per atom; E above lowest polymorph = 8 meV per atom; calculated volume = 12.80 Å³/atom
1.0
5.110 0.002 0.000
-2.560 4.423 0.000
0.000 0.000 10.196
Ti Mn O
2 4 12
Direct
0.000 0.000 0.000
0.500 0.500 0.500
0.167 0.833 0.500
0.333 0.667 0.000
0.667 0.333 0.000
0.833 0.167 0.500
0.000 0.661 0.095
0.000 0.339 0.905
0.161 0.500 0.405
0.500 0.839 0.595
0.161 0.161 0.595
0.339 0.339 0.095
0.661 0.661 0.905
0.339 0.000 0.905
0.839 0.839 0.405
0.500 0.161 0.405
0.839 0.500 0.595
0.661 0.000 0.095


[2]
TiMnO4 PBE+U optimized geometry; VASP energy = -0.2938 hartree per atom; DOS(E_F) = 0.2778 states/eV per atom; calculated volume = 11.38 Å³/atom
1.0
-2.839 -1.252 -2.171
1.359 -3.525 0.255
-1.907 1.649 4.846
Ti Mn O
1 1 4
Direct
0.500 0.500 0.000
0.250 0.750 0.500
0.291 0.291 0.582
0.709 0.709 0.418
0.452 0.952 0.904
0.048 0.548 0.096


[3]
Ti3MnO PBE+U optimized geometry; VASP energy = -0.2225 hartree per atom; DOS(E_F) = 0.7091 states/eV per atom; calculated volume = 18.00 Å³/atom
1.0
4.481 0.000 0.000
0.000 4.481 0.000
0.000 0.000 4.481
Mn O Ti
1 1 3
Direct
0.000 0.000 0.000
0.500 0.500 0.500
0.000 0.500 0.000
0.000 0.000 0.500
0.500 0.000 0.000


[4]
Ti5Mn3O12 PBE+U optimized geometry; VASP energy = -0.3154 hartree per atom; DOS(E_F) = 0.4230 states/eV per atom; calculated volume = 11.89 Å³/atom
1.0
-0.199 -10.093 -3.641
2.292 -0.024 10.484
-9.593 4.554 -1.554
Mn Ti O
12 20 48
Direct
0.750 0.375 0.125
0.875 0.750 0.125
0.375 0.750 0.625
0.250 0.125 0.375
0.875 0.125 0.250
0.375 0.625 0.250
0.625 0.375 0.750
0.125 0.875 0.750
0.750 0.875 0.625
0.625 0.250 0.375
0.125 0.250 0.875
0.250 0.625 0.875
0.125 0.375 0.250
0.000 0.500 0.000
0.000 0.000 0.000
0.375 0.250 0.125
0.500 0.000 0.500
0.500 0.500 0.000
0.125 0.750 0.375
0.750 0.125 0.875
0.750 0.625 0.375
0.375 0.125 0.750
0.625 0.875 0.250
0.500 0.500 0.500
0.500 0.000 0.000
0.000 0.000 0.500
0.250 0.375 0.625
0.250 0.875 0.125
0.000 0.500 0.500
0.875 0.250 0.625
0.625 0.750 0.875
0.875 0.625 0.750
0.707 0.121 0.027
0.319 0.527 0.406
0.973 0.379 0.293
0.527 0.207 0.121
0.586 0.707 0.681
0.973 0.594 0.181
0.319 0.793 0.414
0.094 0.914 0.121
0.594 0.973 0.681
0.707 0.586 0.181
0.793 0.473 0.379
0.819 0.906 0.027
0.121 0.707 0.527
0.379 0.406 0.086
0.086 0.906 0.379
0.414 0.121 0.594
0.086 0.181 0.207
0.473 0.681 0.094
0.819 0.914 0.293
0.121 0.414 0.094
0.379 0.973 0.793
0.594 0.621 0.414
0.906 0.819 0.527
0.793 0.319 0.914
0.406 0.379 0.586
0.094 0.181 0.473
0.207 0.681 0.086
0.181 0.086 0.707
0.621 0.027 0.207
0.879 0.586 0.906
0.527 0.319 0.906
0.586 0.879 0.406
0.914 0.819 0.793
0.914 0.094 0.621
0.879 0.293 0.473
0.181 0.094 0.973
0.621 0.594 0.914
0.406 0.027 0.319
0.293 0.414 0.819
0.207 0.527 0.621
0.906 0.086 0.879
0.681 0.207 0.586
0.473 0.793 0.879
0.027 0.406 0.819
0.414 0.293 0.319
0.027 0.621 0.707
0.681 0.473 0.594
0.293 0.879 0.973


[5]
TiMn2O6 PBE+U optimized geometry; VASP energy = -0.2815 hartree per atom; E above lowest polymorph = 0 meV per atom; calculated volume = 12.57 Å³/atom
1.0
6.723 0.044 0.180
6.054 2.923 0.180
1.389 0.323 5.877
Ti Mn O
1 2 6
Direct
0.000 0.000 0.500
0.667 0.667 0.165
0.333 0.333 0.835
0.157 0.157 0.379
0.820 0.820 0.051
0.843 0.843 0.621
0.486 0.486 0.722
0.514 0.514 0.278
0.180 0.180 0.949


[6]
TiMnTl2O4 PBE+U optimized geometry; VASP energy = -0.2486 hartree per atom; calculated volume = 17.98 Å³/atom
1.0
-0.947 3.080 -5.270
4.406 -4.073 -3.173
-5.113 -4.293 -1.590
Ti Mn Tl O
2 2 4 8
Direct
0.500 0.832 0.500
0.000 0.168 0.000
0.000 0.181 0.500
0.500 0.819 0.000
0.499 0.281 0.250
0.499 0.281 0.750
0.999 0.719 0.750
0.999 0.719 0.250
0.240 0.011 0.000
0.740 0.989 0.500
0.262 0.992 0.500
0.762 0.008 0.000
0.500 0.685 0.728
0.000 0.315 0.228
0.000 0.315 0.772
0.500 0.685 0.272


[7]
TiMnV2O6 PBE+U optimized geometry; VASP energy = -0.3041 hartree per atom; calculated volume = 10.98 Å³/atom
1.0
5.216 -0.002 -0.012
2.605 4.480 -0.009
2.597 1.490 4.693
Ti Mn V O
1 1 2 6
Direct
0.311 0.313 0.064
0.804 0.800 0.591
0.515 0.516 0.453
0.015 0.019 0.955
0.602 0.240 0.229
0.239 0.928 0.234
0.929 0.601 0.233
0.392 0.718 0.751
0.714 0.137 0.753
0.141 0.390 0.753


[8]
TiMnV4O12 PBE+U optimized geometry; VASP energy = -0.2892 hartree per atom; calculated volume = 14.67 Å³/atom
1.0
-2.597 -5.105 -4.088
2.078 -5.549 3.795
-4.716 -1.546 2.710
Ti Mn V O
1 1 4 12
Direct
0.098 0.902 0.500
0.899 0.101 0.000
0.812 0.631 0.944
0.618 0.840 0.425
0.369 0.188 0.056
0.160 0.382 0.575
0.962 0.825 0.857
0.955 0.406 0.918
0.828 0.965 0.395
0.651 0.677 0.746
0.594 0.045 0.082
0.689 0.631 0.250
0.323 0.349 0.254
0.357 0.895 0.527
0.369 0.311 0.750
0.175 0.038 0.143
0.105 0.643 0.473
0.035 0.172 0.605


[9]
Y2TiMnO6 PBE+U optimized geometry; VASP energy = -0.3187 hartree per atom; DOS(E_F) = 0.0000 states/eV per atom; calculated volume = 13.84 Å³/atom
1.0
5.037 0.000 0.000
0.000 5.242 0.000
0.000 0.000 5.242
Y Ti Mn O
2 1 1 6
Direct
0.989 0.500 0.000
0.989 0.000 0.500
0.592 0.000 0.000
0.557 0.500 0.500
0.734 0.240 0.240
0.734 0.240 0.760
0.159 0.500 0.500
0.226 0.000 0.000
0.734 0.760 0.760
0.734 0.760 0.240


[10]
TiMn2ZnO6 PBE+U optimized geometry; VASP energy = -0.2608 hartree per atom; calculated volume = 10.20 Å³/atom
1.0
-2.066 -1.431 -4.385
-2.859 -4.195 -0.218
-5.403 0.567 -0.560
Ti Mn Zn O
1 2 1 6
Direct
0.310 0.317 0.069
0.514 0.515 0.456
0.016 0.011 0.958
0.796 0.800 0.607
0.614 0.236 0.229
0.243 0.919 0.228
0.916 0.606 0.231
0.394 0.723 0.749
0.723 0.136 0.746
0.136 0.398 0.744


[11]
MnTlO2 PBE+U optimized geometry; VASP energy = -0.2201 hartree per atom; DOS(E_F) = 0.6658 states/eV per atom; E above lowest polymorph = 157 meV per atom; calculated volume = 17.37 Å³/atom
1.0
5.975 0.000 0.000
0.000 5.975 0.000
2.988 2.988 3.892
Tl Mn O
2 2 4
Direct
0.000 0.000 0.000
0.750 0.250 0.500
0.500 0.500 0.000
0.250 0.750 0.500
0.498 0.125 0.250
0.252 0.625 0.250
0.375 0.502 0.750
0.875 0.748 0.750


[12]
MnTlO2 PBE+U optimized geometry; VASP energy = -0.2069 hartree per atom; DOS(E_F) = 0.2852 states/eV per atom; E above lowest polymorph = 516 meV per atom; calculated volume = 16.44 Å³/atom
1.0
2.022 0.000 6.189
-1.011 1.751 6.189
-1.011 -1.751 6.189
Tl Mn O
1 1 2
Direct
0.500 0.500 0.500
0.000 0.000 0.000
0.897 0.897 0.897
0.103 0.103 0.103


[13]
MnTlO2 PBE+U optimized geometry; VASP energy = -0.1984 hartree per atom; DOS(E_F) = 0.5839 states/eV per atom; E above lowest polymorph = 747 meV per atom; calculated volume = 13.25 Å³/atom
1.0
-0.807 -3.585 2.066
0.879 -0.307 4.112
-3.131 -0.150 2.819
Tl Mn O
1 1 2
Direct
0.500 0.500 0.500
0.000 0.000 0.000
0.250 0.250 0.250
0.750 0.750 0.750


[14]
MnTl3O PBE+U optimized geometry; VASP energy = -0.1385 hartree per atom; DOS(E_F) = 0.4448 states/eV per atom; E above lowest polymorph = 0 meV per atom; calculated volume = 26.15 Å³/atom
1.0
-4.647 -0.422 -1.998
1.814 -3.133 -3.558
-0.937 -3.971 3.019
Tl Mn O
3 1 1
Direct
0.000 0.500 0.000
0.000 0.000 0.500
0.500 0.000 0.000
0.500 0.500 0.500
0.000 0.000 0.000


[15]
MnTlO2 PBE+U optimized geometry; VASP energy = -0.2209 hartree per atom; DOS(E_F) = 0.3837 states/eV per atom; E above lowest polymorph = 135 meV per atom; calculated volume = 14.34 Å³/atom
1.0
3.169 0.000 0.000
1.584 2.744 0.000
1.584 0.915 6.597
Mn Tl O
1 1 2
Direct
0.667 0.667 0.999
0.495 0.495 0.515
0.053 0.053 0.841
0.285 0.285 0.145


[16]
MnTl2O PBE+U optimized geometry; VASP energy = -0.1576 hartree per atom; DOS(E_F) = 0.1933 states/eV per atom; E above lowest polymorph = 0 meV per atom; calculated volume = 22.01 Å³/atom
1.0
7.255 0.000 0.000
0.000 7.255 0.000
3.628 3.628 3.345
Tl Mn O
4 2 2
Direct
0.566 0.125 0.250
0.184 0.625 0.250
0.375 0.434 0.750
0.875 0.816 0.750
0.000 0.000 0.000
0.750 0.250 0.500
0.500 0.500 0.000
0.250 0.750 0.500


[17]
MnTlO2 PBE+U optimized geometry; VASP energy = -0.2259 hartree per atom; E above lowest polymorph = 0 meV per atom; calculated volume = 17.62 Å³/atom
1.0
-3.255 -0.053 -0.536
-0.251 -0.181 5.175
-1.346 8.287 -0.428
Mn Tl O
2 2 4
Direct
0.010 0.246 0.712
0.470 0.756 0.741
0.118 0.824 0.378
0.725 0.294 0.077
0.889 0.958 0.856
0.087 0.568 0.606
0.363 0.439 0.861
0.594 0.045 0.592


[18]
MnTlO3 PBE+U optimized geometry; VASP energy = -0.2137 hartree per atom; DOS(E_F) = 0.2929 states/eV per atom; calculated volume = 11.35 Å³/atom
1.0
3.843 0.000 0.000
0.000 3.843 0.000
0.000 0.000 3.843
Tl Mn O
1 1 3
Direct
0.500 0.500 0.500
0.000 0.000 0.000
0.000 0.500 0.000
0.000 0.000 0.500
0.500 0.000 0.000


[19]
MnTlO3 PBE+U optimized geometry; VASP energy = -0.2224 hartree per atom; DOS(E_F) = 0.0872 states/eV per atom; calculated volume = 13.07 Å³/atom
1.0
3.487 2.882 -4.138
-5.655 -1.832 -1.499
-4.405 10.596 3.668
Mn Tl O
6 6 18
Direct
0.000 0.665 0.494
0.000 0.335 0.994
0.335 0.335 0.494
0.335 0.000 0.994
0.665 0.665 0.994
0.665 0.000 0.494
0.333 0.667 0.233
0.000 0.000 0.263
0.000 0.000 0.763
0.333 0.667 0.733
0.667 0.333 0.733
0.667 0.333 0.233
0.000 0.684 0.655
0.000 0.649 0.333
0.000 0.351 0.833
0.000 0.316 0.155
0.333 0.667 0.002
0.000 0.000 0.478
0.000 0.000 0.978
0.333 0.667 0.502
0.316 0.316 0.655
0.351 0.351 0.333
0.316 0.000 0.155
0.649 0.649 0.833
0.351 0.000 0.833
0.684 0.684 0.155
0.667 0.333 0.502
0.667 0.333 0.002
0.649 0.000 0.333
0.684 0.000 0.655